VASP calculation (GGA-PBE) on a relaxed structure of CaAl2As.

Cell: 3.6245 3.6245 6.4363 Å, 90.00 90.00 90.00°
Last column: nearest neighbours and their distance in Å.
Fractional positions:
As (0.0000, 0.0000, 0.4471)  1 Al 2.53
Al (0.5000, 0.5000, 0.2558)  4 As 2.84, 4 Al 2.87, 1 Ca 3.14
Al (0.0000, 0.0000, 0.0537)  1 As 2.53
Ca (0.5000, 0.5000, 0.7434)  6 Al 3.14-3.30, 4 As 3.19

Values from the calculation:
Total moment: 0.00 Bohr magnetons per cell
Energy of formation from the pure elements: -31 kJ/mol of atoms